No. 1
First-principles (PBE) data for a relaxed Cd2Bi2Te crystal, as listed in Alexandria via LeMat-Bulk.

Structure (POSCAR):
```
Cd2Bi2Te
1.0
4.1938 0.0000 0.0000
0.0000 4.1938 0.0000
0.0000 0.0000 16.8088
Cd Bi Te
4 4 2
direct
0.0000 0.5000 0.2500
0.0000 0.5000 0.7500
0.5000 0.0000 0.2500
0.5000 0.0000 0.7500
0.0000 0.0000 0.1051
0.0000 0.0000 0.8949
0.5000 0.5000 0.3949
0.5000 0.5000 0.6051
0.0000 0.0000 0.5000
0.5000 0.5000 0.0000
```

* total DFT energy (no corrections): -24.435 eV per cell
* energy relative to the lowest polymorph listed for this composition: 25 meV/atom


No. 2
First-principles (PBE) data for a relaxed Tl3CdBi2Te6 crystal, as listed in Alexandria via LeMat-Bulk.

Structure (POSCAR):
```
Tl3CdBi2Te6
1.0
3.9123 -6.7859 0.0000
3.9123 6.7859 0.0000
-2.6131 0.0000 7.7458
Tl Cd Bi Te
3 1 2 6
direct
0.0000 0.0000 0.0000
0.3270 0.6730 0.0000
0.6730 0.3270 0.0000
0.5000 0.5000 0.5000
0.1648 0.8352 0.5000
0.8352 0.1648 0.5000
0.1014 0.4254 0.2760
0.2516 0.2516 0.7262
0.4254 0.1014 0.2760
0.5746 0.8986 0.7240
0.7484 0.7484 0.2738
0.8986 0.5746 0.7240
```

* total DFT energy (no corrections): -37.986 eV per cell


No. 3
First-principles (PBE) data for a relaxed Tl2CdBiTe crystal, as listed in Alexandria via LeMat-Bulk.

Structure (POSCAR):
```
Tl2CdBiTe
1.0
6.2927 0.0000 0.0000
0.0000 6.2927 0.0000
0.0000 0.0000 5.9778
Tl Cd Bi Te
2 1 1 1
direct
0.0000 0.5000 0.0000
0.5000 0.0000 0.0000
0.0000 0.0000 0.5000
0.5000 0.5000 0.0000
0.5000 0.5000 0.5000
```

* total DFT energy (no corrections): -11.142 eV per cell


total DFT energy (no corrections) of number 3 (Tl2CdBiTe)?
-11.142 eV per cell